Here is a geometry-optimized TmZr2Te structure from the Alexandria database. Energies are from PBE.

## Properties
The total energy comes out at -6.775 eV per atom. The polymorph energy (0 for the lowest one) comes out at 0.00 eV/f.u. As for the space group: No. 11.

Cell lengths 4.2578, 4.2985, 10.9116 Å; angles 90.00, 101.22, 90.00 degrees
Last column: nearest neighbours and their distance in Å.
Element x y z (fractional)
Tm 0.1944 0.2500 0.3903  5 Te 3.08-3.11
Tm 0.8056 0.7500 0.6097  5 Te 3.08-3.11
Zr 0.0535 0.7500 0.1078  8 Zr 3.03-3.17, 2 Te 3.13
Zr 0.4446 0.7500 0.8884  8 Zr 3.03-3.21, 2 Te 3.12
Zr 0.5554 0.2500 0.1116  8 Zr 3.03-3.21, 2 Te 3.12
Zr 0.9465 0.2500 0.8922  8 Zr 3.03-3.17, 2 Te 3.13
Te 0.3395 0.2500 0.6778  5 Tm 3.08-3.11, 4 Zr 3.12-3.13
Te 0.6605 0.7500 0.3222  5 Tm 3.08-3.11, 4 Zr 3.12-3.13


Here is a geometry-optimized U4Te structure from the Alexandria database. Energies are from PBE.

## Properties
The total energy comes out at -8.173 eV per atom. As for the space group: No. 221.

Cell lengths 5.6081, 5.6081, 5.6081 Å; angles 90.00, 90.00, 90.00 degrees
Last column: nearest neighbours and their distance in Å.
Element x y z (fractional)
U 0.0000 0.0000 0.0000  12 U 3.97
U 0.0000 0.5000 0.5000  2 Te 2.80
U 0.5000 0.0000 0.5000  2 Te 2.80
U 0.5000 0.5000 0.0000  2 Te 2.80
Te 0.5000 0.5000 0.5000  6 U 2.80


Here is a geometry-optimized U7Te12 structure from the Alexandria database. Energies are from PBE.

## Properties
The total energy comes out at -6.776 eV per atom. As for the space group: No. 174.

Cell lengths 12.4140, 12.4140, 4.1829 Å; angles 90.00, 90.00, 120.00 degrees
Last column: nearest neighbours and their distance in Å.
Element x y z (fractional)
U 0.0000 0.0000 0.0000  9 Te 3.12-3.36
U 0.1591 0.4504 0.5000  8 Te 3.04-3.38
U 0.2912 0.8409 0.5000  8 Te 3.04-3.38
U 0.4320 0.2785 0.0000  8 Te 3.11-3.30
U 0.5496 0.7088 0.5000  8 Te 3.04-3.38
U 0.7215 0.1535 0.0000  8 Te 3.11-3.30
U 0.8465 0.5680 0.0000  8 Te 3.11-3.30
Te 0.0069 0.2549 0.0000  4 U 3.04-3.12
Te 0.1370 0.6281 0.0000  5 U 3.15-3.30
Te 0.2132 0.2102 0.5000  5 U 3.19-3.37, 2 Te 3.56
Te 0.2480 0.9931 0.0000  4 U 3.04-3.12
Te 0.3719 0.5089 0.0000  5 U 3.15-3.30
Te 0.4911 0.8630 0.0000  5 U 3.15-3.30
Te 0.5236 0.1401 0.5000  5 U 3.17-3.38
Te 0.6164 0.4764 0.5000  5 U 3.17-3.38
Te 0.7451 0.7520 0.0000  4 U 3.04-3.12
Te 0.7898 0.0030 0.5000  5 U 3.19-3.37, 2 Te 3.56
Te 0.8599 0.3836 0.5000  5 U 3.17-3.38
Te 0.9970 0.7868 0.5000  5 U 3.19-3.37, 2 Te 3.56


Here is a geometry-optimized U6Te structure from the Alexandria database. Energies are from PBE.

## Properties
The total energy comes out at -9.088 eV per atom. As for the space group: No. 229.

Cell lengths 6.1899, 6.1899, 6.1899 Å; angles 109.47, 109.47, 109.47 degrees
Last column: nearest neighbours and their distance in Å.
Element x y z (fractional)
U 0.2500 0.5000 0.7500  4 U 2.53
U 0.2500 0.7500 0.5000  4 U 2.53
U 0.5000 0.2500 0.7500  4 U 2.53
U 0.5000 0.7500 0.2500  4 U 2.53
U 0.7500 0.2500 0.5000  4 U 2.53
U 0.7500 0.5000 0.2500  4 U 2.53
Te 0.0000 0.0000 0.0000  24 U 4.00


Here is a geometry-optimized U2Te3 structure from the Alexandria database. Energies are from PBE.

## Properties
The total energy comes out at -7.006 eV per atom. As for the space group: No. 11.

Cell lengths 11.7371, 4.2491, 12.0688 Å; angles 90.00, 90.18, 90.00 degrees
Last column: nearest neighbours and their distance in Å.
Element x y z (fractional)
U 0.0014 0.2500 0.1962  7 Te 3.12-3.28
U 0.1846 0.7500 0.4853  7 Te 3.09-3.18
U 0.3175 0.7500 0.9864  7 Te 3.09-3.19
U 0.4951 0.2500 0.6913  7 Te 3.14-3.22
U 0.5049 0.7500 0.3087  7 Te 3.14-3.22
U 0.6825 0.2500 0.0136  7 Te 3.09-3.19
U 0.8154 0.2500 0.5147  7 Te 3.09-3.18
U 0.9986 0.7500 0.8038  7 Te 3.12-3.28
Te 0.0567 0.2500 0.6229  5 U 3.09-3.12
Te 0.1263 0.2500 0.9532  5 U 3.11-3.28
Te 0.2031 0.7500 0.2256  4 U 3.14-3.20
Te 0.2943 0.7500 0.7267  4 U 3.14-3.20
Te 0.3730 0.2500 0.4517  5 U 3.09-3.22
Te 0.4440 0.2500 0.1259  5 U 3.09-3.14
Te 0.5560 0.7500 0.8741  5 U 3.09-3.14
Te 0.6270 0.7500 0.5483  5 U 3.09-3.22
Te 0.7057 0.2500 0.2733  4 U 3.14-3.20
Te 0.7969 0.2500 0.7744  4 U 3.14-3.20
Te 0.8737 0.7500 0.0468  5 U 3.11-3.28
Te 0.9433 0.7500 0.3771  5 U 3.09-3.12


Here is a geometry-optimized U2Te3 structure from the Alexandria database. Energies are from PBE.

## Properties
The total energy comes out at -6.984 eV per atom. As for the space group: No. 115.

Cell lengths 4.2659, 4.2659, 8.7335 Å; angles 90.00, 90.00, 90.00 degrees
Last column: nearest neighbours and their distance in Å.
Element x y z (fractional)
U 0.0000 0.5000 0.2327  7 Te 3.13-3.25
U 0.5000 0.0000 0.7673  7 Te 3.13-3.25
Te 0.0000 0.5000 0.8610  5 U 3.13-3.25
Te 0.5000 0.0000 0.1390  5 U 3.13-3.25
Te 0.5000 0.5000 0.5000  4 U 3.16


Here is a geometry-optimized U3Te5 structure from the Alexandria database. Energies are from PBE.

## Properties
The total energy comes out at -6.792 eV per atom. As for the space group: No. 193.

Cell lengths 9.1024, 9.1024, 6.3611 Å; angles 90.00, 90.00, 120.00 degrees
Last column: nearest neighbours and their distance in Å.
Element x y z (fractional)
U 0.0000 0.3901 0.2500  9 Te 3.12-3.41
U 0.0000 0.6099 0.7500  9 Te 3.12-3.41
U 0.3901 0.0000 0.2500  9 Te 3.12-3.41
U 0.3901 0.3901 0.7500  9 Te 3.12-3.41
U 0.6099 0.0000 0.7500  9 Te 3.12-3.41
U 0.6099 0.6099 0.2500  9 Te 3.12-3.41
Te 0.0000 0.2547 0.7500  5 U 3.12-3.41
Te 0.0000 0.7453 0.2500  5 U 3.12-3.41
Te 0.2547 0.0000 0.7500  5 U 3.12-3.41
Te 0.2547 0.2547 0.2500  5 U 3.12-3.41
Te 0.3333 0.6667 0.0000  2 Te 3.18, 6 U 3.23
Te 0.3333 0.6667 0.5000  2 Te 3.18, 6 U 3.23
Te 0.6667 0.3333 0.0000  2 Te 3.18, 6 U 3.23
Te 0.6667 0.3333 0.5000  2 Te 3.18, 6 U 3.23
Te 0.7453 0.0000 0.2500  5 U 3.12-3.41
Te 0.7453 0.7453 0.7500  5 U 3.12-3.41


Here is a geometry-optimized U3Te4 structure from the Alexandria database. Energies are from PBE.

## Properties
The total energy comes out at -7.199 eV per atom. As for the space group: No. 220.

Cell lengths 8.0311, 8.0311, 8.0311 Å; angles 109.47, 109.47, 109.47 degrees
Last column: nearest neighbours and their distance in Å.
Element x y z (fractional)
U 0.1250 0.8750 0.2500  8 Te 3.15-3.27
U 0.2500 0.1250 0.8750  8 Te 3.15-3.27
U 0.3750 0.6250 0.7500  8 Te 3.15-3.27
U 0.6250 0.7500 0.3750  8 Te 3.15-3.27
U 0.7500 0.3750 0.6250  8 Te 3.15-3.27
U 0.8750 0.2500 0.1250  8 Te 3.15-3.27
Te 0.0000 0.1545 0.5000  6 U 3.15-3.27, 3 Te 3.51
Te 0.0000 0.6545 0.5000  6 U 3.15-3.27, 3 Te 3.51
Te 0.1545 0.5000 0.0000  6 U 3.15-3.27, 3 Te 3.51
Te 0.3455 0.3455 0.3455  6 U 3.15-3.27, 3 Te 3.51
Te 0.5000 0.0000 0.1545  6 U 3.15-3.27, 3 Te 3.51
Te 0.5000 0.0000 0.6545  6 U 3.15-3.27, 3 Te 3.51
Te 0.6545 0.5000 0.0000  6 U 3.15-3.27, 3 Te 3.51
Te 0.8455 0.8455 0.8455  6 U 3.15-3.27, 3 Te 3.51


ΔE_f (raw): -0.60 1.49 -0.63 1.04 -0.61 -0.58 -0.60 -0.57 (eV/atom)